8
Lattice="-2.3738 -6.6504 -2.2194 6.9743 -2.0004 -1.4651 2.5643 -5.2692 0.7035" Properties=species:S:1:pos:R:3 comment="Sc2TaCo, optimized geometry, DFT PBE" vol_a3_per_cell=149.5 dos_at_fermi_per_ev_cell=5.92 de_polymorph_mev_per_atom=398 e_form_ev_per_fu=1.3 mass_density_g_cm3=7.3 m_tot_mub_per_atom=0.000 sg="I-42d (122)" pbc="T T T"
Co 5.9194 -5.7975 -1.3019
Co 2.3003 -4.3254 -1.8422
Ta 0.0000 0.0000 0.0000
Ta 1.2454 -8.1226 -1.6791
Sc 5.5603 -11.4100 -2.6147
Sc 4.5711 -3.7693 -1.1408
Sc 4.0369 -7.3074 -0.9357
Sc 0.1615 -5.3535 -1.2708

---

4
Lattice="-2.7023 1.0856 -2.5992 0.5211 -3.3471 -1.9397 -2.7316 -1.6675 2.1436" Properties=species:S:1:pos:R:3 comment="ReOs2Pt, optimized geometry, DFT PBE" vol_a3_per_cell=58.7 dos_at_fermi_per_ev_cell=2.88 de_polymorph_mev_per_atom=23 e_form_ev_per_fu=0.3 mass_density_g_cm3=21.6 m_tot_mub_per_atom=0.000 sg="P4/mmm (123)" pbc="T T T"
Pt -2.7170 -0.2910 -0.2278
Re -1.1053 -2.5073 0.1019
Os -1.0906 -1.1308 -2.2694
Os 0.0000 0.0000 0.0000

---

5
Lattice="3.6970 0.0000 0.0000 0.0000 3.6970 0.0000 0.0000 0.0000 3.6970" Properties=species:S:1:pos:R:3 comment="AlZnH3, optimized geometry, DFT PBE" vol_a3_per_cell=50.5 dos_at_fermi_per_ev_cell=0.76 de_polymorph_mev_per_atom=162 mass_density_g_cm3=3.1 m_tot_mub_per_atom=0.000 sg="Pm-3m (221)" pbc="T T T"
H 0.0000 1.8485 0.0000
H 1.8485 0.0000 0.0000
H 0.0000 0.0000 1.8485
Zn 0.0000 0.0000 0.0000
Al 1.8485 1.8485 1.8485

---

8
Lattice="4.6979 0.0000 0.0000 0.0000 4.6979 0.0000 0.0000 0.0000 13.3484" Properties=species:S:1:pos:R:3 comment="Sr3SnTe4, optimized geometry, DFT PBE" vol_a3_per_cell=294.6 de_polymorph_mev_per_atom=0 mass_density_g_cm3=5.0 raw_formation_energy_mev_per_atom=-1363.7 m_tot_mub_per_atom=0.000 sg="P4/mmm (123)" pbc="T T T"
Te 0.0000 0.0000 10.0726
Te 0.0000 0.0000 3.2758
Te 2.3490 2.3490 6.6742
Te 2.3490 2.3490 0.0000
Sr 2.3490 2.3490 10.0433
Sr 2.3490 2.3490 3.3051
Sr 0.0000 0.0000 6.6742
Sn 0.0000 0.0000 0.0000

---

8
Lattice="4.4675 0.0000 0.0000 0.0000 7.8264 -0.1827 0.0000 2.7263 7.3319" Properties=species:S:1:pos:R:3 comment="CaYHo2Bi4, optimized geometry, DFT PBE" vol_a3_per_cell=258.6 dos_at_fermi_per_ev_cell=3.03 e_form_ev_per_fu=-6.4 mass_density_g_cm3=8.3 m_tot_mub_per_atom=0.000 sg="P2/m (10)" pbc="T T T"
Ca 2.2337 3.9132 -0.0914
Bi 2.2338 6.5854 1.7060
Bi 4.4675 2.5985 1.8318
Bi 0.0001 7.9542 5.3174
Bi 2.2338 3.9673 5.4432
Ho 0.0000 2.7263 7.3319
Ho 2.2337 1.3632 3.6660
Y 0.0000 5.2763 3.5746

---

15
Lattice="-7.9301 0.1510 2.7195 -4.0798 -7.1847 1.4283 -1.7820 -2.3185 7.8584" Properties=species:S:1:pos:R:3 comment="TbCe6Se8, optimized geometry, DFT PBE" vol_a3_per_cell=416.8 dos_at_fermi_per_ev_cell=37.35 mass_density_g_cm3=6.5 raw_formation_energy_mev_per_atom=-1835.5 m_tot_mub_per_atom=0.454 sg="Fm-3m (225)" pbc="T T T"
Se -6.3730 -7.1171 7.6636
Se -9.4821 -5.8683 5.0649
Se -4.3099 -3.4838 6.9413
Se -7.4189 -2.2350 4.3426
Se -10.3440 -7.0141 9.0046
Se -8.3201 -3.4075 8.3165
Se -5.4718 -5.9447 3.6896
Se -3.4480 -2.3380 3.0015
Ce -2.0399 -3.5923 0.7142
Ce -4.8561 -1.0837 5.2889
Ce -6.0049 -3.5168 2.0739
Ce -2.9309 -4.7516 4.6433
Ce -3.9650 0.0755 1.3597
Ce -0.8910 -1.1592 3.9292
Tb 0.0000 0.0000 0.0000

---

8
Lattice="6.0583 0.0000 0.0000 3.0291 4.3201 -0.6375 3.0291 0.4852 4.3399" Properties=species:S:1:pos:R:3 comment="Ag2GeAuO4, optimized geometry, DFT PBE" vol_a3_per_cell=115.5 dos_at_fermi_per_ev_cell=9.32 mass_density_g_cm3=7.9 raw_formation_energy_mev_per_atom=-464.4 m_tot_mub_per_atom=0.000 sg="I222 (23)" pbc="T T T"
Ge 6.0583 2.4027 1.8512
Ag 3.0291 1.4389 3.1020
Ag 3.0291 3.3664 0.6003
O 5.0763 0.9273 2.1521
O 7.0402 2.3174 0.3478
O 5.0763 3.8781 1.5502
O 7.0402 2.4879 3.3545
Au 3.0291 0.0000 0.0000

---

4
Lattice="3.5105 0.0000 0.0000 1.7553 3.0402 0.0000 1.7553 1.0134 12.2787" Properties=species:S:1:pos:R:3 comment="AcEr2Sc, optimized geometry, DFT PBE" vol_a3_per_cell=131.0 dos_at_fermi_per_ev_cell=5.50 de_polymorph_mev_per_atom=122 e_form_ev_per_fu=0.9 mass_density_g_cm3=7.7 m_tot_mub_per_atom=0.000 sg="R-3m (166)" pbc="T T T"
Sc 3.5105 2.0268 6.1393
Er 5.2658 3.0402 3.5097
Er 1.7553 1.0134 8.7689
Ac 0.0000 0.0000 0.0000

---

5
Lattice="-2.7392 -2.1485 -1.4143 2.3940 -1.3735 -2.5499 1.0377 -3.0436 2.6138" Properties=species:S:1:pos:R:3 comment="ScCu2HIr, optimized geometry, DFT PBE" final_energy_ev_per_cell=-27.97 vol_a3_per_cell=58.5 dos_at_fermi_per_ev_cell=1.77 mass_density_g_cm3=10.4 m_tot_mub_per_atom=0.000 sg="P4/mmm (123)" pbc="T T T"
Sc 0.5189 -1.5218 1.3069
Cu -1.3696 -1.0743 -0.7072
Cu 1.1970 -0.6868 -1.2749
H 0.0000 0.0000 0.0000
Ir 0.3463 -3.2828 -0.6752

---

6
Lattice="5.2964 0.0000 0.0000 2.6482 4.5868 0.0000 2.6482 1.5289 8.0247" Properties=species:S:1:pos:R:3 comment="AcInAu, optimized geometry, DFT PBE" vol_a3_per_cell=194.9 dos_at_fermi_per_ev_cell=1.78 de_polymorph_mev_per_atom=198 e_form_ev_per_fu=-1.6 mass_density_g_cm3=9.2 m_tot_mub_per_atom=0.000 sg="R-3m (166)" pbc="T T T"
Ac 5.2964 3.0579 6.5103
Ac 5.2964 3.0579 1.5144
In 7.9446 4.5868 3.3731
In 2.6482 1.5289 4.6516
Au 7.9446 4.5868 6.2706
Au 2.6482 1.5289 1.7541

---

4
Lattice="-1.7040 -3.8976 3.2221 3.4635 -2.7434 2.9925 -2.3154 4.6277 -1.3039" Properties=species:S:1:pos:R:3 comment="NiRh2Au, optimized geometry, DFT PBE" vol_a3_per_cell=58.1 dos_at_fermi_per_ev_cell=6.02 de_polymorph_mev_per_atom=81 e_form_ev_per_fu=0.7 mass_density_g_cm3=13.2 m_tot_mub_per_atom=0.037 sg="Immm (71)" pbc="T T T"
Rh 0.0419 -0.1581 0.1480
Rh 0.8379 -3.1624 2.9593
Au -1.5698 -1.2952 2.5127
Ni 1.0139 -0.7181 2.3979

---

9
Lattice="-2.0920 0.8492 -2.3456 -1.4618 -7.6280 -3.7350 -6.8364 -4.8199 2.0751" Properties=species:S:1:pos:R:3 comment="DyCd6Ag2, optimized geometry, DFT PBE" vol_a3_per_cell=200.8 dos_at_fermi_per_ev_cell=4.55 de_polymorph_mev_per_atom=19 e_form_ev_per_fu=-0.7 mass_density_g_cm3=8.7 m_tot_mub_per_atom=0.000 sg="C2/m (12)" pbc="T T T"
Cd -4.2874 -6.2736 -2.9840
Cd -4.5382 -9.0421 -3.7664
Cd -5.8520 -2.5566 -0.2391
Cd -6.1028 -5.3251 -1.0215
Cd -2.3644 -4.3788 -4.0094
Cd -8.0258 -7.2199 0.0039
Dy -2.0920 0.8492 -2.3456
Ag -3.2423 -4.2750 -0.9331
Ag -7.1479 -7.3237 -3.0724